Crystalline Tb2WO6 at its relaxed geometry, computed with PBEsol.

Cell: 9.592 9.592 5.360 Å, 102.43 102.43 69.69°
Positions (direct):
Tb (0.060, 0.287, 0.887)
Tb (0.109, 0.891, 0.750)
Tb (0.287, 0.060, 0.387)
Tb (0.376, 0.624, 0.250)
Tb (0.624, 0.376, 0.750)
Tb (0.713, 0.940, 0.613)
Tb (0.891, 0.109, 0.250)
Tb (0.940, 0.713, 0.113)
W (0.183, 0.502, 0.582)
W (0.498, 0.817, 0.918)
W (0.502, 0.183, 0.082)
W (0.817, 0.498, 0.418)
O (0.037, 0.470, 0.280)
O (0.079, 0.103, 0.080)
O (0.103, 0.079, 0.580)
O (0.150, 0.682, 0.420)
O (0.183, 0.623, 0.903)
O (0.223, 0.309, 0.641)
O (0.309, 0.223, 0.141)
O (0.318, 0.850, 0.080)
O (0.377, 0.817, 0.597)
O (0.378, 0.462, 0.532)
O (0.462, 0.378, 0.032)
O (0.470, 0.037, 0.780)
O (0.530, 0.963, 0.220)
O (0.538, 0.622, 0.968)
O (0.622, 0.538, 0.468)
O (0.623, 0.183, 0.403)
O (0.682, 0.150, 0.920)
O (0.691, 0.777, 0.859)
O (0.777, 0.691, 0.359)
O (0.817, 0.377, 0.097)
O (0.850, 0.318, 0.580)
O (0.897, 0.921, 0.420)
O (0.921, 0.897, 0.920)
O (0.963, 0.530, 0.720)

The energy above the lowest structure with this stoichiometry is 20 meV per atom. The crystal system is monoclinic. For the density of states at the Fermi level, the calculation gives 0.0 states/eV/f.u. The value obtained for the total energy is -331.84 eV/cell. Its formation energy (no corrections) is -3071 meV per atom.